Crystalline NaYO3 at its relaxed geometry, computed with PBE-GGA.

- E_form (uncorrected) (eV per atom) = -1.7051
- DOS at the Fermi energy (states/eV/cell) = 4.3
- crystal system = cubic
- total magnetization (Bohr magnetons per cell) = 2.00

Cell lengths 4.370, 4.370, 4.370 Å; angles 90.00, 90.00, 90.00 degrees
Space group Pm-3m (No. 221)
Unique sites:
Na (0.000, 0.000, 0.000)
Y (0.500, 0.500, 0.500)
O (0.000, 0.500, 0.500)

Crystalline Na3YO at its relaxed geometry, computed with PBE-GGA.

- E_form (uncorrected) (eV per atom) = -0.1343
- DOS at the Fermi energy (states/eV/cell) = 3.1
- crystal system = cubic
- total magnetization (Bohr magnetons per cell) = 1.53

Cell lengths 4.928, 4.928, 4.928 Å; angles 90.00, 90.00, 90.00 degrees
Space group Pm-3m (No. 221)
Unique sites:
Na (0.000, 0.000, 0.500)
Y (0.500, 0.500, 0.500)
O (0.000, 0.000, 0.000)

Crystalline NaYO2 at its relaxed geometry, computed with PBE-GGA.

- E_form (uncorrected) (eV per atom) = -2.3835
- DOS at the Fermi energy (states/eV/cell) = 0.0
- crystal system = cubic
- total magnetization (Bohr magnetons per cell) = 0.00

Cell lengths 5.715, 5.715, 5.715 Å; angles 90.00, 90.00, 90.00 degrees
Space group Fm-3m (No. 225)
Unique sites:
Na (0.000, 0.000, 0.000)
Y (0.000, 0.000, 0.500)
O (0.250, 0.250, 0.250)

Crystalline NaYO2 at its relaxed geometry, computed with PBE-GGA.

- E_form (uncorrected) (eV per atom) = -2.7067
- DOS at the Fermi energy (states/eV/cell) = 0.0
- crystal system = trigonal
- total magnetization (Bohr magnetons per cell) = 0.00

Cell lengths 3.4090, 3.4090, 17.5809 Å; angles 90.00, 90.00, 120.00 degrees
Space group R3m (No. 160, hexagonal axes)
Unique sites:
Na (0.0000, 0.0000, 0.0000)
Y (0.0000, 0.0000, 0.8262)
O (0.0000, 0.0000, 0.2265)
O (0.0000, 0.0000, 0.4231)

Crystalline NaYO2 at its relaxed geometry, computed with PBE-GGA.

- E_form (uncorrected) (eV per atom) = -2.6079
- DOS at the Fermi energy (states/eV/cell) = 0.0
- crystal system = tetragonal
- total magnetization (Bohr magnetons per cell) = 0.00

Cell lengths 5.267, 5.267, 10.415 Å; angles 90.00, 90.00, 90.00 degrees
Space group I-42d (No. 122)
Unique sites:
Na (0.000, 0.000, 0.000)
Y (0.000, 0.000, 0.500)
O (0.212, 0.250, 0.625)

Crystalline NaYO3 at its relaxed geometry, computed with PBE-GGA.

- E_form (uncorrected) (eV per atom) = -1.1465
- DOS at the Fermi energy (states/eV/cell) = 1.6
- crystal system = cubic
- total magnetization (Bohr magnetons per cell) = 2.00

Cell lengths 3.914, 3.914, 3.914 Å; angles 90.00, 90.00, 90.00 degrees
Space group Pm-3m (No. 221)
Unique sites:
Na (0.000, 0.000, 0.000)
Y (0.500, 0.500, 0.500)
O (0.000, 0.000, 0.500)

Crystalline Na3Y2ZrO6 at its relaxed geometry, computed with PBE-GGA.

- E_form (uncorrected) (eV per atom) = -2.6216
- DOS at the Fermi energy (states/eV/cell) = 7.2
- crystal system = monoclinic
- total magnetization (Bohr magnetons per cell) = 0.00

Cell lengths 5.810, 10.058, 5.954 Å; angles 90.00, 108.95, 90.00 degrees
Space group C2/m (No. 12)
Unique sites:
Na (0.000, 0.000, 0.000)
Na (0.000, 0.336, 0.000)
Y (0.000, 0.167, 0.500)
Zr (0.000, 0.500, 0.500)
O (0.232, 0.341, 0.716)
O (0.247, 0.500, 0.286)

Crystalline NaYZr2O at its relaxed geometry, computed with PBE-GGA.

- E_form (uncorrected) (eV per atom) = -0.6669
- DOS at the Fermi energy (states/eV/cell) = 7.3
- crystal system = tetragonal
- total magnetization (Bohr magnetons per cell) = 0.00

Cell lengths 4.496, 4.496, 5.206 Å; angles 90.00, 90.00, 90.00 degrees
Space group P4/mmm (No. 123)
Unique sites:
Na (0.000, 0.000, 0.000)
Y (0.500, 0.500, 0.000)
Zr (0.000, 0.500, 0.500)
O (0.000, 0.000, 0.500)

Crystalline NaYbO3 at its relaxed geometry, computed with PBE-GGA.

- E_form (uncorrected) (eV per atom) = -1.4478
- DOS at the Fermi energy (states/eV/cell) = 4.4
- crystal system = cubic
- total magnetization (Bohr magnetons per cell) = 3.02

Cell lengths 4.349, 4.349, 4.349 Å; angles 90.00, 90.00, 90.00 degrees
Space group Pm-3m (No. 221)
Unique sites:
Na (0.000, 0.000, 0.000)
Yb (0.500, 0.500, 0.500)
O (0.000, 0.500, 0.500)

Crystalline Na3ZnO2 at its relaxed geometry, computed with PBE-GGA.

- E_form (uncorrected) (eV per atom) = -1.0601
- DOS at the Fermi energy (states/eV/cell) = 2.6
- crystal system = orthorhombic
- total magnetization (Bohr magnetons per cell) = 0.00

Cell lengths 5.371, 10.581, 3.644 Å; angles 90.00, 90.00, 90.00 degrees
Space group Pnnm (No. 58)
Unique sites:
Na (0.000, 0.000, 0.000)
Na (0.099, 0.265, 0.500)
Zn (0.000, 0.500, 0.000)
O (0.243, 0.881, 0.500)

Crystalline NaZnO at its relaxed geometry, computed with PBE-GGA.

- E_form (uncorrected) (eV per atom) = -1.0194
- crystal system = monoclinic
- total magnetization (Bohr magnetons per cell) = 0.00

Cell lengths 9.153, 3.071, 7.975 Å; angles 90.00, 123.99, 90.00 degrees
Space group C2/m (No. 12)
Unique sites:
Na (0.170, 0.000, 0.114)
Zn (0.012, 0.000, 0.357)
O (0.024, 0.500, 0.822)

Crystalline Na3Zn2O4 at its relaxed geometry, computed with PBE-GGA.

- E_form (uncorrected) (eV per atom) = -1.2790
- DOS at the Fermi energy (states/eV/cell) = 13.2
- crystal system = orthorhombic
- total magnetization (Bohr magnetons per cell) = 1.43

Cell lengths 5.596, 13.177, 3.172 Å; angles 90.00, 90.00, 90.00 degrees
Space group Pnnm (No. 58)
Unique sites:
Na (0.000, 0.000, 0.000)
Na (0.197, 0.195, 0.000)
Zn (0.122, 0.410, 0.000)
O (0.223, 0.559, 0.000)
O (0.243, 0.337, 0.500)